(1)
Material: KCdRe
Method: DFT, GGA-PBE
State: relaxed

Geometry as CIF:
```
data_KCdRe
_space_group_name_H-M_alt 'P 1'
_space_group_IT_number 1
_space_group_name_Hall 'P 1'
_cell_length_a 2.675
_cell_length_b 4.821
_cell_length_c 12.175
_cell_angle_alpha 90.00
_cell_angle_beta 91.23
_cell_angle_gamma 90.00
loop_
_atom_site_label
_atom_site_type_symbol
_atom_site_fract_x
_atom_site_fract_y
_atom_site_fract_z
Re1 Re 0.445 0.000 0.600
K1 K 0.934 0.000 0.880
Re2 Re 0.445 0.500 0.100
Cd1 Cd 0.951 0.000 0.158
Cd2 Cd 0.951 0.500 0.658
K2 K 0.934 0.500 0.380
```

**ΔH_f (0 K)**: 1027 meV/atom
**ΔE to the lowest computed polymorph**: 0.362 eV/atom
**Space group**: Cm
**Crystal system**: monoclinic


(2)
Material: KCd2Re
Method: DFT, GGA-PBE
State: relaxed

Geometry as CIF:
```
data_KCd2Re
_space_group_name_H-M_alt 'P 1'
_space_group_IT_number 1
_space_group_name_Hall 'P 1'
_cell_length_a 5.120
_cell_length_b 5.120
_cell_length_c 5.120
_cell_angle_alpha 60.00
_cell_angle_beta 60.00
_cell_angle_gamma 60.00
loop_
_atom_site_label
_atom_site_type_symbol
_atom_site_fract_x
_atom_site_fract_y
_atom_site_fract_z
Cd1 Cd 0.250 0.250 0.250
Cd2 Cd 0.000 0.000 0.000
K1 K 0.500 0.500 0.500
Re1 Re 0.750 0.750 0.750
```

**ΔH_f (0 K)**: 1258 meV/atom
**ΔE to the lowest computed polymorph**: 0.594 eV/atom
**Space group**: F-43m
**Crystal system**: cubic